Entry from the Alexandria database: a relaxed structure of Cs3KCd (GGA-PBE).

For the density of states at the Fermi level, the calculation gives 19.31 states/eV per cell. As for the offset from the most stable computed form: 6 kJ/mol of formula units. The value obtained for the volume is 1592.6 Å³ per cell. For the calculated formation energy, the calculation gives -0.01 eV/atom.

a = 5.934 Å, b = 16.382 Å, c = 16.382 Å
α = 90.00°, β = 90.00°, γ = 90.00°
Fractional coordinates of all 20 atoms:
Cs: 0.000 0.817 0.511
Cs: 0.000 0.489 0.183
Cs: 0.500 0.395 0.605
Cs: 0.500 0.683 0.011
Cs: 0.000 0.511 0.817
Cs: 0.000 0.895 0.895
Cd: 0.500 0.933 0.067
Cs: 0.500 0.605 0.395
K: 0.000 0.186 0.814
Cs: 0.500 0.317 0.989
K: 0.500 0.314 0.314
K: 0.000 0.814 0.186
Cd: 0.000 0.433 0.433
Cs: 0.500 0.011 0.683
K: 0.500 0.686 0.686
Cd: 0.500 0.067 0.933
Cs: 0.000 0.105 0.105
Cs: 0.000 0.183 0.489
Cd: 0.000 0.567 0.567
Cs: 0.500 0.989 0.317